[1]
VASP calculation (PBE-GGA) on an optimized crystal structure of DyFe12Si6.

a = 6.560 Å, b = 6.560 Å, c = 6.560 Å
α = 104.86°, β = 104.86°, γ = 104.86°
Each line ends with the local moment (μB).
Atoms (fractional coordinates):
Si  0.710  0.248  0.248  -0.09
Fe  0.569  0.569  0.836  2.29
Dy  0.000  0.000  0.000  -0.24
Fe  0.569  0.836  0.569  2.29
Fe  0.836  0.569  0.569  2.29
Fe  0.500  0.879  0.121  1.33
Fe  0.879  0.121  0.500  1.33
Si  0.290  0.752  0.752  -0.09
Si  0.752  0.290  0.752  -0.09
Si  0.248  0.710  0.248  -0.09
Fe  0.121  0.500  0.879  1.33
Fe  0.121  0.879  0.500  1.33
Fe  0.500  0.121  0.879  1.33
Fe  0.879  0.500  0.121  1.33
Fe  0.431  0.164  0.431  2.29
Si  0.752  0.752  0.290  -0.09
Si  0.248  0.248  0.710  -0.09
Fe  0.431  0.431  0.164  2.29
Fe  0.164  0.431  0.431  2.29

Calculated volume (Å³/cell): 248
Formation energy (no corrections) (eV/atom): -0.2373
SG: No. 166
Total magnetization (Bohr magnetons per cell): 20.4


[2]
VASP calculation (PBE-GGA) on an optimized crystal structure of DyFeSi2.

a = 3.938 Å, b = 6.756 Å, c = 9.745 Å
α = 90.00°, β = 90.00°, γ = 90.00°
Atoms (fractional coordinates):
Si  0.250  0.817  0.576
Si  0.750  0.683  0.076
Fe  0.250  0.014  0.390
Dy  0.250  0.842  0.876
Fe  0.750  0.986  0.610
Si  0.750  0.154  0.813
Fe  0.750  0.486  0.890
Si  0.250  0.846  0.187
Si  0.750  0.654  0.687
Si  0.250  0.317  0.924
Dy  0.250  0.342  0.624
Si  0.750  0.183  0.424
Fe  0.250  0.514  0.110
Dy  0.750  0.158  0.124
Si  0.250  0.346  0.313
Dy  0.750  0.658  0.376

Calculated volume (Å³/cell): 259
Formation energy (no corrections) (eV/atom): -0.6944
SG: No. 62
Total magnetization (Bohr magnetons per cell): 0.0